# PBE-GGA SrCdSn2Hg, relaxed
# Final energy (eV per atom): -2.501
# V (A^3/atom): 29.2
# SG: P4/nmm
data_SrCdSn2Hg
_space_group_name_H-M_alt 'P 1'
_space_group_IT_number 1
_space_group_name_Hall 'P 1'
_cell_length_a 4.842
_cell_length_b 4.842
_cell_length_c 12.458
_cell_angle_alpha 90.00
_cell_angle_beta 90.00
_cell_angle_gamma 90.00
loop_
_atom_site_label
_atom_site_fract_x
_atom_site_fract_y
_atom_site_fract_z
Cd1 0.500 0.500 0.000
Cd2 0.000 0.000 0.000
Sn1 0.000 0.500 0.864
Sn2 0.000 0.000 0.500
Sn3 0.500 0.000 0.136
Sn4 0.500 0.500 0.500
Sr1 0.500 0.000 0.752
Sr2 0.000 0.500 0.248
Hg1 0.500 0.000 0.359
Hg2 0.000 0.500 0.641